A relaxed Rb2GePtF6 crystal, computed with GGA-PBE.

Cell lengths 6.2678, 6.2678, 6.2678 Å; angles 119.38, 119.38, 91.08 degrees
Element x y z (fractional)
Rb  0.2500  0.7500  0.5000
Rb  0.7500  0.2500  0.5000
Ge  0.0000  0.0000  0.0000
Pt  0.5000  0.5000  0.0000
F  0.2413  0.2413  0.4826
F  0.2413  0.7587  0.0000
F  0.2501  0.2501  0.0000
F  0.7499  0.7499  0.0000
F  0.7587  0.2413  0.0000
F  0.7587  0.7587  0.5174

E_form (uncorrected): -1.960 eV per atom
calculated total energy: -0.3191 Ry per atom
SG: No. 139

***

A relaxed GePtRh2F crystal, computed with GGA-PBE.

Cell lengths 4.6508, 4.6508, 4.6115 Å; angles 90.00, 90.00, 90.00 degrees
Element x y z (fractional)
Ge  0.0000  0.0000  0.0000
Pt  0.0000  0.0000  0.5000
Rh  0.0000  0.5000  0.0000
Rh  0.5000  0.0000  0.0000
F  0.5000  0.5000  0.5000

E_form (uncorrected): 0.671 eV per atom
calculated total energy: -0.3510 Ry per atom
SG: No. 123

***

no.,M_tot (μB/f.u.)
1,1.58
2,2.00